# TmBe9Tc2 (GGA-PBE, relaxed)
# formation enthalpy at 0 K = -6.3 kcal/mol of atoms
# crystal system = hexagonal
# density = 6.01 g cm⁻³
data_TmBe9Tc2
_chemical_formula_sum 'Tm2 Be18 Tc4'
_symmetry_space_group_name_H-M 'P 63/m m c'
_symmetry_Int_Tables_number 194
_symmetry_space_group_name_Hall '-P 6c 2c'
_cell_length_a 4.4560
_cell_length_b 4.4560
_cell_length_c 14.3452
_cell_angle_alpha 90.00
_cell_angle_beta 90.00
_cell_angle_gamma 120.00
loop_
_atom_site_label
_atom_site_type_symbol
_atom_site_fract_x
_atom_site_fract_y
_atom_site_fract_z
_atom_site_occupancy
Tm1 Tm 0.3333 0.6667 0.2500 1
Be1 Be 0.0000 0.0000 0.0000 1
Be2 Be 0.0000 0.0000 0.2500 1
Be3 Be 0.1696 0.3391 0.6206 1
Be4 Be 0.3333 0.6667 0.7500 1
Tc1 Tc 0.3333 0.6667 0.0306 1


# TmBe4Tc (GGA-PBE, relaxed)
# formation enthalpy at 0 K = -2.1 kcal/mol of atoms
# crystal system = cubic
# density = 6.99 g cm⁻³
data_TmBe4Tc
_chemical_formula_sum 'Tm4 Be16 Tc4'
_symmetry_space_group_name_H-M 'F -4 3 m'
_symmetry_Int_Tables_number 216
_symmetry_space_group_name_Hall 'F -4 2 3'
_cell_length_a 6.6027
_cell_length_b 6.6027
_cell_length_c 6.6027
_cell_angle_alpha 90.00
_cell_angle_beta 90.00
_cell_angle_gamma 90.00
loop_
_atom_site_label
_atom_site_type_symbol
_atom_site_fract_x
_atom_site_fract_y
_atom_site_fract_z
_atom_site_occupancy
Tm1 Tm 0.0000 0.0000 0.0000 1
Be1 Be 0.1220 0.1220 0.3780 1
Tc1 Tc 0.2500 0.2500 0.7500 1


# TmBe17Tc (GGA-PBE, relaxed)
# formation enthalpy at 0 K = -2.9 kcal/mol of atoms
# crystal system = trigonal
# density = 4.01 g cm⁻³
data_TmBe17Tc
_chemical_formula_sum 'Tm3 Be51 Tc3'
_symmetry_space_group_name_H-M 'R 3 m'
_symmetry_Int_Tables_number 160
_symmetry_space_group_name_Hall 'R 3 -2"'
_cell_length_a 7.4473
_cell_length_b 7.4473
_cell_length_c 10.8585
_cell_angle_alpha 90.00
_cell_angle_beta 90.00
_cell_angle_gamma 120.00
loop_
_atom_site_label
_atom_site_type_symbol
_atom_site_fract_x
_atom_site_fract_y
_atom_site_fract_z
_atom_site_occupancy
Tm1 Tm 0.0000 0.0000 0.0000 1
Be1 Be 0.0000 0.0000 0.2478 1
Be2 Be 0.0000 0.0000 0.4418 1
Be3 Be 0.0016 0.5008 0.8398 1
Be4 Be 0.0068 0.2957 0.3395 1
Be5 Be 0.0079 0.5039 0.1835 1
Be6 Be 0.0105 0.5053 0.4949 1
Tc1 Tc 0.0000 0.0000 0.6721 1


# TmZrBeTc (GGA-PBE, relaxed)
# formation enthalpy at 0 K = -1.8 kcal/mol of atoms
# crystal system = cubic
# density = 8.35 g cm⁻³
data_TmZrBeTc
_chemical_formula_sum 'Tm4 Zr4 Be4 Tc4'
_symmetry_space_group_name_H-M 'F -4 3 m'
_symmetry_Int_Tables_number 216
_symmetry_space_group_name_Hall 'F -4 2 3'
_cell_length_a 6.6360
_cell_length_b 6.6360
_cell_length_c 6.6360
_cell_angle_alpha 90.00
_cell_angle_beta 90.00
_cell_angle_gamma 90.00
loop_
_atom_site_label
_atom_site_type_symbol
_atom_site_fract_x
_atom_site_fract_y
_atom_site_fract_z
_atom_site_occupancy
Tm1 Tm 0.0000 0.0000 0.0000 1
Zr1 Zr 0.0000 0.0000 0.5000 1
Be1 Be 0.2500 0.2500 0.2500 1
Tc1 Tc 0.2500 0.2500 0.7500 1


# UBe17Tc (GGA-PBE, relaxed)
# formation enthalpy at 0 K = -0.4 kcal/mol of atoms
# crystal system = trigonal
# density = 4.59 g cm⁻³
data_UBe17Tc
_chemical_formula_sum 'U3 Be51 Tc3'
_symmetry_space_group_name_H-M 'R 3 m'
_symmetry_Int_Tables_number 160
_symmetry_space_group_name_Hall 'R 3 -2"'
_cell_length_a 7.4927
_cell_length_b 7.4927
_cell_length_c 10.9253
_cell_angle_alpha 90.00
_cell_angle_beta 90.00
_cell_angle_gamma 120.00
loop_
_atom_site_label
_atom_site_type_symbol
_atom_site_fract_x
_atom_site_fract_y
_atom_site_fract_z
_atom_site_occupancy
U1 U 0.0000 0.0000 0.0000 1
Be1 Be 0.0000 0.0000 0.2464 1
Be2 Be 0.0000 0.0000 0.4393 1
Be3 Be 0.0028 0.5014 0.8378 1
Be4 Be 0.0069 0.2948 0.3385 1
Be5 Be 0.0089 0.5044 0.4942 1
Be6 Be 0.0103 0.5052 0.1852 1
Tc1 Tc 0.0000 0.0000 0.6652 1


# UBe4Tc (GGA-PBE, relaxed)
# formation enthalpy at 0 K = 2.0 kcal/mol of atoms
# crystal system = cubic
# density = 8.39 g cm⁻³
data_UBe4Tc
_chemical_formula_sum 'U4 Be16 Tc4'
_symmetry_space_group_name_H-M 'F -4 3 m'
_symmetry_Int_Tables_number 216
_symmetry_space_group_name_Hall 'F -4 2 3'
_cell_length_a 6.6544
_cell_length_b 6.6544
_cell_length_c 6.6544
_cell_angle_alpha 90.00
_cell_angle_beta 90.00
_cell_angle_gamma 90.00
loop_
_atom_site_label
_atom_site_type_symbol
_atom_site_fract_x
_atom_site_fract_y
_atom_site_fract_z
_atom_site_occupancy
U1 U 0.0000 0.0000 0.0000 1
Be1 Be 0.1229 0.1229 0.6229 1
Tc1 Tc 0.2500 0.2500 0.2500 1


# Be2VTc (GGA-PBE, relaxed)
# relative energy among the computed polymorphs = 0 meV/atom
# formation enthalpy at 0 K = -0.4 kcal/mol of atoms
# crystal system = cubic
# density = 6.28 g cm⁻³
data_Be2VTc
_chemical_formula_sum 'Be8 V4 Tc4'
_symmetry_space_group_name_H-M 'F m -3 m'
_symmetry_Int_Tables_number 225
_symmetry_space_group_name_Hall '-F 4 2 3'
_cell_length_a 5.6101
_cell_length_b 5.6101
_cell_length_c 5.6101
_cell_angle_alpha 90.00
_cell_angle_beta 90.00
_cell_angle_gamma 90.00
loop_
_atom_site_label
_atom_site_type_symbol
_atom_site_fract_x
_atom_site_fract_y
_atom_site_fract_z
_atom_site_occupancy
Be1 Be 0.2500 0.2500 0.2500 1
V1 V 0.0000 0.0000 0.0000 1
Tc1 Tc 0.0000 0.0000 0.5000 1


# Be2VTc (GGA-PBE, relaxed)
# relative energy among the computed polymorphs = 453 meV/atom
# formation enthalpy at 0 K = 10.0 kcal/mol of atoms
# crystal system = tetragonal
# density = 5.55 g cm⁻³
data_Be2VTc
_chemical_formula_sum 'Be8 V4 Tc4'
_symmetry_space_group_name_H-M 'I -4 2 d'
_symmetry_Int_Tables_number 122
_symmetry_space_group_name_Hall 'I -4 2bw'
_cell_length_a 3.4340
_cell_length_b 3.4340
_cell_length_c 16.9509
_cell_angle_alpha 90.00
_cell_angle_beta 90.00
_cell_angle_gamma 90.00
loop_
_atom_site_label
_atom_site_type_symbol
_atom_site_fract_x
_atom_site_fract_y
_atom_site_fract_z
_atom_site_occupancy
Be1 Be 0.2404 0.2500 0.1250 1
V1 V 0.0000 0.0000 0.5000 1
Tc1 Tc 0.0000 0.0000 0.0000 1